Record 1
Material: ZrAuOF2
Method: DFT, GGA-PBEsol
State: optimized geometry

- E_tot (eV per atom) = -6.568
- ρ (g cm⁻³) = 7.9
- formation energy (no corrections) (eV/f.u.) = -10.723

a b c (Å): 4.2278 4.2278 4.0317
angles (deg): 90.00 90.00 90.00
Closest atoms and distances in Å follow each position.
Space group P4/mmm (No. 123)
Unique sites:
Zr: 0.0000 0.0000 0.0000 [1 per cell]  2 O 2.02, 4 F 2.11
Au: 0.5000 0.5000 0.5000 [1 per cell]  8 F 2.92, 4 O 2.99
O: 0.0000 0.0000 0.5000 [1 per cell]  2 Zr 2.02
F: 0.0000 0.5000 0.0000 [2 per cell]  2 Zr 2.11



Record 2
Material: P2AuSF
Method: DFT, GGA-PBEsol
State: optimized geometry

- E_tot (eV per atom) = -3.368
- ρ (g cm⁻³) = 4.8
- formation energy (no corrections) (eV/f.u.) = 4.979

a b c (Å): 4.7615 4.7615 4.7476
angles (deg): 90.00 90.00 90.00
Closest atoms and distances in Å follow each position.
Space group P4/mmm (No. 123)
Unique sites:
P: 0.0000 0.5000 0.0000 [2 per cell]  2 Au 2.38
Au: 0.0000 0.0000 0.0000 [1 per cell]  2 S 2.37, 4 P 2.38
S: 0.0000 0.0000 0.5000 [1 per cell]  2 Au 2.37
F: 0.5000 0.5000 0.5000 [1 per cell]  8 P 3.36, 4 S 3.37